one:
First-principles (GGA-PBE) data for an optimized crystal structure of RbSbP2S, as listed in Alexandria via LeMat-Bulk.

Computed properties:
total magnetic moment = 0.48 μB per atom
mass density = 3.41 Mg/m³
density of states at the Fermi level = 3.63 states/eV/cell

The structure in extended XYZ format:
```
5
Lattice="5.247 0.000 0.000 0.000 5.247 0.000 0.000 0.000 5.334" Properties=species:S:1:pos:R:3 pbc="T T T"
Rb 0.000 0.000 0.000
Sb 2.624 2.624 2.667
P 0.000 2.624 2.667
P 2.624 0.000 2.667
S 2.624 2.624 0.000
```

two:
First-principles (GGA-PBE) data for an optimized crystal structure of RbSbP2S, as listed in Alexandria via LeMat-Bulk.

Computed properties:
total magnetic moment = 0.17 μB per atom
mass density = 3.25 Mg/m³
density of states at the Fermi level = 4.88 states/eV/cell

The structure in extended XYZ format:
```
5
Lattice="5.358 0.000 0.000 0.000 5.358 0.000 0.000 0.000 5.356" Properties=species:S:1:pos:R:3 pbc="T T T"
Rb 0.000 0.000 0.000
Sb 2.679 2.679 2.678
P 0.000 2.679 0.000
P 2.679 0.000 0.000
S 0.000 0.000 2.678
```

one wins, 1424 meV per atom ahead of the next structure.

one:
First-principles (GGA-PBE) data for an optimized crystal structure of RbSbPS2, as listed in Alexandria via LeMat-Bulk.

Computed properties:
total magnetic moment = 0.20 μB per atom
mass density = 3.20 Mg/m³
density of states at the Fermi level = 5.53 states/eV/cell

The structure in extended XYZ format:
```
5
Lattice="5.384 0.000 0.000 0.000 5.384 0.000 0.000 0.000 5.417" Properties=species:S:1:pos:R:3 pbc="T T T"
Rb 0.000 0.000 0.000
Sb 2.692 2.692 2.708
P 0.000 0.000 2.708
S 0.000 2.692 0.000
S 2.692 0.000 0.000
```

two:
First-principles (GGA-PBE) data for an optimized crystal structure of RbSbPS2, as listed in Alexandria via LeMat-Bulk.

Computed properties:
total magnetic moment = 0.38 μB per atom
mass density = 3.49 Mg/m³
density of states at the Fermi level = 3.92 states/eV/cell

The structure in extended XYZ format:
```
5
Lattice="5.234 0.000 0.000 0.000 5.234 0.000 0.000 0.000 5.253" Properties=species:S:1:pos:R:3 pbc="T T T"
Rb 0.000 0.000 0.000
Sb 2.617 2.617 2.626
P 2.617 2.617 0.000
S 0.000 2.617 2.626
S 2.617 0.000 2.626
```

two wins, 1504 meV per atom ahead of the next structure.

one:
First-principles (GGA-PBE) data for an optimized crystal structure of RbScPS2, as listed in Alexandria via LeMat-Bulk.

Computed properties:
total magnetic moment = 0.26 μB per atom
mass density = 2.83 Mg/m³
density of states at the Fermi level = 3.35 states/eV/cell

The structure in extended XYZ format:
```
5
Lattice="5.071 0.000 0.000 0.000 5.071 0.000 0.000 0.000 5.141" Properties=species:S:1:pos:R:3 pbc="T T T"
Rb 0.000 0.000 0.000
Sc 2.535 2.535 2.571
P 2.535 2.535 0.000
S 0.000 2.535 2.571
S 2.535 0.000 2.571
```

two:
First-principles (GGA-PBE) data for an optimized crystal structure of RbScPS2, as listed in Alexandria via LeMat-Bulk.

Computed properties:
total magnetic moment = 0.15 μB per atom
mass density = 2.58 Mg/m³
density of states at the Fermi level = 4.55 states/eV/cell

The structure in extended XYZ format:
```
5
Lattice="5.279 0.000 0.000 0.000 5.279 0.000 0.000 0.000 5.201" Properties=species:S:1:pos:R:3 pbc="T T T"
Rb 0.000 0.000 0.000
Sc 2.640 2.640 2.600
P 0.000 0.000 2.600
S 0.000 2.640 0.000
S 2.640 0.000 0.000
```

one wins, 1778 meV per atom ahead of the next structure.

one:
First-principles (GGA-PBE) data for an optimized crystal structure of RbP2SeS, as listed in Alexandria via LeMat-Bulk.

Computed properties:
total magnetic moment = 1.29 μB per atom
mass density = 1.30 Mg/m³
density of states at the Fermi level = 10.73 states/eV/cell

The structure in extended XYZ format:
```
5
Lattice="7.175 0.000 0.000 0.000 7.175 0.000 0.000 0.000 6.416" Properties=species:S:1:pos:R:3 pbc="T T T"
Rb 0.000 0.000 0.000
P 0.000 3.587 0.000
P 3.587 0.000 0.000
Se 3.587 3.587 3.208
S 0.000 0.000 3.208
```

two:
First-principles (GGA-PBE) data for an optimized crystal structure of RbP2SeS, as listed in Alexandria via LeMat-Bulk.

Computed properties:
total magnetic moment = 0.34 μB per atom
mass density = 3.31 Mg/m³
density of states at the Fermi level = 4.34 states/eV/cell

The structure in extended XYZ format:
```
5
Lattice="5.017 0.000 0.000 0.000 5.017 0.000 0.000 0.000 5.156" Properties=species:S:1:pos:R:3 pbc="T T T"
Rb 0.000 0.000 0.000
P 0.000 2.509 2.578
P 2.509 0.000 2.578
Se 2.509 2.509 2.578
S 2.509 2.509 0.000
```

two wins, 1380 meV per atom ahead of the next structure.

one:
First-principles (GGA-PBE) data for an optimized crystal structure of RbSnP2S, as listed in Alexandria via LeMat-Bulk.

Computed properties:
total magnetic moment = 0.49 μB per atom
mass density = 3.41 Mg/m³
density of states at the Fermi level = 3.68 states/eV/cell

The structure in extended XYZ format:
```
5
Lattice="5.233 0.000 0.000 0.000 5.233 0.000 0.000 0.000 5.303" Properties=species:S:1:pos:R:3 pbc="T T T"
Rb 0.000 0.000 0.000
Sn 2.616 2.616 2.652
P 0.000 2.616 2.652
P 2.616 0.000 2.652
S 2.616 2.616 0.000
```

two:
First-principles (GGA-PBE) data for an optimized crystal structure of RbSnP2S, as listed in Alexandria via LeMat-Bulk.

Computed properties:
total magnetic moment = 0.27 μB per atom
mass density = 3.10 Mg/m³
density of states at the Fermi level = 6.27 states/eV/cell

The structure in extended XYZ format:
```
5
Lattice="5.380 0.000 0.000 0.000 5.380 0.000 0.000 0.000 5.514" Properties=species:S:1:pos:R:3 pbc="T T T"
Rb 0.000 0.000 0.000
Sn 2.690 2.690 2.757
P 0.000 2.690 0.000
P 2.690 0.000 0.000
S 0.000 0.000 2.757
```

one wins, 1247 meV per atom ahead of the next structure.

one:
First-principles (GGA-PBE) data for an optimized crystal structure of RbSnPS2, as listed in Alexandria via LeMat-Bulk.

Computed properties:
total magnetic moment = 0.57 μB per atom
mass density = 2.90 Mg/m³
density of states at the Fermi level = 4.88 states/eV/cell

The structure in extended XYZ format:
```
5
Lattice="5.625 0.000 0.000 0.000 5.625 0.000 0.000 0.000 5.415" Properties=species:S:1:pos:R:3 pbc="T T T"
Rb 0.000 0.000 0.000
Sn 2.813 2.813 2.707
P 0.000 0.000 2.707
S 0.000 2.813 0.000
S 2.813 0.000 0.000
```

two:
First-principles (GGA-PBE) data for an optimized crystal structure of RbSnPS2, as listed in Alexandria via LeMat-Bulk.

Computed properties:
total magnetic moment = 0.35 μB per atom
mass density = 3.50 Mg/m³
density of states at the Fermi level = 3.43 states/eV/cell

The structure in extended XYZ format:
```
5
Lattice="5.223 0.000 0.000 0.000 5.223 0.000 0.000 0.000 5.203" Properties=species:S:1:pos:R:3 pbc="T T T"
Rb 0.000 0.000 0.000
Sn 2.612 2.612 2.602
P 2.612 2.612 0.000
S 0.000 2.612 2.602
S 2.612 0.000 2.602
```

three:
First-principles (GGA-PBE) data for an optimized crystal structure of RbSnPS2, as listed in Alexandria via LeMat-Bulk.

Computed properties:
total magnetic moment = 0.00 μB per atom
mass density = 3.80 Mg/m³
density of states at the Fermi level = 2.12 states/eV/cell

The structure in extended XYZ format:
```
5
Lattice="5.058 0.000 0.000 0.000 5.058 0.000 0.000 0.000 5.109" Properties=species:S:1:pos:R:3 pbc="T T T"
Rb 0.000 0.000 0.000
Sn 2.529 2.529 0.000
P 2.529 2.529 2.555
S 0.000 2.529 2.555
S 2.529 0.000 2.555
```

two wins, 34 meV per atom ahead of the next structure.